Compound: MgMo2O4
Source: the Alexandria database
Functional: GGA+U
Structure: relaxed

a b c (Å): 6.2935 6.4401 15.3275
angles (deg): 88.07 89.96 60.76
Fractional positions:
O: 0.1769 0.1445 0.9082
O: 0.5112 0.9987 0.2446
O: 0.3229 0.3727 0.0877
O: 0.6638 0.6528 0.9114
O: 0.9907 0.9990 0.2446
O: 0.6797 0.1413 0.4182
O: 0.1502 0.6765 0.4203
O: 0.9951 0.0246 0.7562
O: 0.4992 0.5021 0.2421
O: 0.3279 0.8442 0.5872
O: 0.9846 0.5311 0.2488
O: 0.4791 0.0248 0.7561
O: 0.1682 0.1642 0.4248
O: 0.8490 0.8021 0.5772
O: 0.4968 0.5056 0.7569
O: 0.1825 0.6525 0.9115
O: 0.3477 0.8053 0.0755
O: 0.0220 0.4552 0.7446
O: 0.8592 0.3046 0.5812
O: 0.8220 0.8569 0.0890
O: 0.6518 0.1947 0.9194
O: 0.6739 0.6764 0.4204
O: 0.8054 0.3726 0.0875
O: 0.3362 0.3047 0.5812
Mg: 0.5017 0.4973 0.3777
Mg: 0.8312 0.8369 0.9548
Mg: 0.5066 0.4866 0.6217
Mg: 0.4965 0.5067 0.9954
Mg: 0.1629 0.1749 0.2923
Mg: 0.1708 0.1580 0.6644
Mo: 0.5025 0.9909 0.5034
Mo: 0.8314 0.8378 0.3343
Mo: 0.1657 0.1704 0.0451
Mo: 0.6597 0.1816 0.1650
Mo: 0.8394 0.8204 0.7147
Mo: 0.1608 0.6802 0.1654
Mo: 0.3342 0.3338 0.8343
Mo: 0.0069 0.9909 0.5034
Mo: 0.8308 0.3338 0.8343
Mo: 0.6598 0.6800 0.1654
Mo: 0.0080 0.4843 0.5017
Mo: 0.3352 0.8284 0.8322

Computed properties:
relative energy among the computed polymorphs: 0.067 eV per atom